Entry 1:
Material: CrNiAsRu
Method: DFT, PBE-GGA
State: optimized geometry

Cell: 4.1793 4.1793 4.1793 Å, 60.00 60.00 60.00°
Closest atoms and distances in Å follow each position.
Fractional coordinates of all 4 atoms:
1 Ru 0.2500 0.2500 0.2500  4 As 2.56, 4 Ni 2.56
2 As 0.5000 0.5000 0.5000  4 Ru 2.56, 4 Cr 2.56
3 Cr 0.7500 0.7500 0.7500  4 Ni 2.56, 4 As 2.56
4 Ni 0.0000 0.0000 0.0000  4 Cr 2.56, 4 Ru 2.56

Volume: 51.62 Å³ per cell
Energy relative to the elements: 0.019 eV per atom
Symmetry: No. 216

=====

Entry 2:
Material: CrNi7Sb2As2
Method: DFT, PBE-GGA
State: optimized geometry

Cell: 3.6089 3.6089 14.4893 Å, 82.82 82.82 90.00°
Closest atoms and distances in Å follow each position.
Fractional coordinates of all 12 atoms:
1 Cr 0.0000 0.0000 0.0000  12 Ni 2.52-2.55
2 Ni 0.5000 0.5000 0.0000  8 Ni 2.52-2.53, 4 Cr 2.55
3 Ni 0.3045 0.3045 0.3915  1 As 2.32
4 Ni 0.6955 0.6955 0.6085  1 As 2.32
5 Ni 0.9376 0.4377 0.1239  2 As 2.35, 6 Ni 2.52-2.55, 2 Cr 2.52-2.53
6 Ni 0.4377 0.9376 0.1239  2 As 2.35, 6 Ni 2.52-2.55, 2 Cr 2.52-2.53
7 Ni 0.5623 0.0624 0.8761  2 As 2.35, 6 Ni 2.52-2.55, 2 Cr 2.52-2.53
8 Ni 0.0624 0.5623 0.8761  2 As 2.35, 6 Ni 2.52-2.55, 2 Cr 2.52-2.53
9 Sb 0.7877 0.7877 0.4245  5 Ni 2.59-2.62
10 Sb 0.2123 0.2123 0.5755  5 Ni 2.59-2.62
11 As 0.6150 0.6150 0.7709  5 Ni 2.32-2.35
12 As 0.3850 0.3850 0.2291  5 Ni 2.32-2.35

Volume: 185.74 Å³ per cell
Symmetry: No. 139
Final energy: -69.2 eV per formula unit

=====

Entry 3:
Material: Cr2NiSbAs
Method: DFT, PBE-GGA
State: optimized geometry

Cell: 5.0391 4.6153 5.0391 Å, 90.00 90.00 90.00°
Closest atoms and distances in Å follow each position.
Fractional coordinates of all 5 atoms:
1 Sb 0.0000 0.0000 0.0000  2 Ni 2.31, 4 Cr 2.52
2 As 0.5000 0.5000 0.5000  8 Cr 3.42, 4 Ni 3.56
3 Cr 0.0000 0.0000 0.5000  2 Sb 2.52
4 Cr 0.5000 0.0000 0.0000  2 Sb 2.52
5 Ni 0.0000 0.5000 0.0000  2 Sb 2.31

Volume: 117.20 Å³ per cell
Symmetry: No. 123
Final energy: -28.6 eV per formula unit

=====

Entry 4:
Material: CrNiAsSe
Method: DFT, PBE-GGA
State: optimized geometry

Cell: 5.9538 3.5365 8.3459 Å, 90.00 130.25 90.00°
Closest atoms and distances in Å follow each position.
Fractional coordinates of all 8 atoms:
1 Ni 0.1737 0.0000 0.4467  1 Se 2.30, 2 As 2.36
2 Ni 0.1737 0.5000 0.9467  1 Se 2.30, 2 As 2.36
3 As 0.2699 0.0000 0.1716  2 Ni 2.36, 1 Cr 2.63
4 As 0.2699 0.5000 0.6716  2 Ni 2.36, 1 Cr 2.63
5 Se 0.7205 0.0000 0.1150  1 Ni 2.30, 3 Cr 2.44-2.49
6 Se 0.7205 0.5000 0.6150  1 Ni 2.30, 3 Cr 2.44-2.49
7 Cr 0.7232 0.0000 0.8176  3 Se 2.44-2.49, 1 As 2.63, 1 Ni 2.68
8 Cr 0.7232 0.5000 0.3176  3 Se 2.44-2.49, 1 As 2.63, 1 Ni 2.68

Volume: 134.13 Å³ per cell
Symmetry: No. 8
Offset from the most stable computed form: 0.51 eV/f.u.

=====

no.,magnetic moment (μB per atom)
1,0.3940
2,0.1958
3,1.3311
4,0.6216